[1]
Entry from OQMD via LeMat-Bulk: a geometry-optimized BaNb2Bi2O9 structure (PBE).

```
data_BaNb2Bi2O9
_cell_length_a 12.863
_cell_length_b 12.863
_cell_length_c 5.638
_cell_angle_alpha 90.00
_cell_angle_beta 90.00
_cell_angle_gamma 25.28
_symmetry_space_group_name_H-M 'P 1'
_symmetry_Int_Tables_number 1
_symmetry_space_group_name_Hall 'P 1'
loop_
_atom_site_label
_atom_site_type_symbol
_atom_site_fract_x
_atom_site_fract_y
_atom_site_fract_z
Nb1 Nb 0.664 0.161 0.525
Nb2 Nb 0.336 0.839 0.025
Nb3 Nb 0.839 0.336 0.525
Nb4 Nb 0.161 0.664 0.025
O1 O 0.075 0.077 0.292
O2 O 0.960 0.364 0.554
O3 O 0.925 0.923 0.792
O4 O 0.579 0.591 0.297
O5 O 0.923 0.925 0.292
O6 O 0.734 0.266 0.543
O7 O 0.242 0.262 0.238
O8 O 0.266 0.734 0.043
O9 O 0.636 0.040 0.554
O10 O 0.262 0.242 0.738
O11 O 0.077 0.075 0.792
O12 O 0.364 0.960 0.054
O13 O 0.409 0.421 0.297
O14 O 0.040 0.636 0.054
O15 O 0.758 0.738 0.738
O16 O 0.738 0.758 0.238
O17 O 0.421 0.409 0.797
O18 O 0.591 0.579 0.797
Ba1 Ba 0.252 0.748 0.535
Ba2 Ba 0.748 0.252 0.035
Bi1 Bi 0.024 0.575 0.448
Bi2 Bi 0.425 0.976 0.448
Bi3 Bi 0.575 0.024 0.948
Bi4 Bi 0.976 0.425 0.948
```

## Properties
The crystal system is orthorhombic. Its energy above the most stable polymorph in this dataset is 0 meV/atom.



[2]
Entry from OQMD via LeMat-Bulk: a geometry-optimized SmFe4P12 structure (PBE).

```
data_SmFe4P12
_cell_length_a 6.739
_cell_length_b 6.739
_cell_length_c 6.739
_cell_angle_alpha 109.47
_cell_angle_beta 109.47
_cell_angle_gamma 109.47
_symmetry_space_group_name_H-M 'P 1'
_symmetry_Int_Tables_number 1
_symmetry_space_group_name_Hall 'P 1'
loop_
_atom_site_label
_atom_site_type_symbol
_atom_site_fract_x
_atom_site_fract_y
_atom_site_fract_z
P1 P 0.353 0.849 0.201
P2 P 0.151 0.799 0.647
P3 P 0.504 0.353 0.151
P4 P 0.849 0.496 0.647
P5 P 0.353 0.151 0.504
P6 P 0.849 0.201 0.353
P7 P 0.201 0.353 0.849
P8 P 0.151 0.504 0.353
P9 P 0.799 0.647 0.151
P10 P 0.496 0.647 0.849
P11 P 0.647 0.151 0.799
P12 P 0.647 0.849 0.496
Fe1 Fe 0.000 0.500 0.000
Fe2 Fe 0.500 0.500 0.500
Fe3 Fe 0.000 0.000 0.500
Fe4 Fe 0.500 0.000 0.000
Sm1 Sm 0.000 0.000 0.000
```

## Properties
The crystal system is cubic. The total energy is -6.646 eV per atom.



Size of the total moment across the listed records, respectively: 0.0; 0.0 μB per formula unit.